<i>
LuPu2C | PBE | optimized geometry

Properties
SG   R-3m, No. 166

abc: 3.9475 3.9475 6.4133
angles: 72.08 72.08 60.00
Element x y z (fractional)
Pu 0.6908 0.6908 0.9276
Pu 0.3092 0.3092 0.0724
C 0.0000 0.0000 0.0000
Lu 0.5000 0.5000 0.5000

---

<ii>
LuPu2C | PBE | optimized geometry

Properties
SG   P4/mmm, No. 123

abc: 3.1506 3.1506 8.5187
angles: 90.00 90.00 90.00
Element x y z (fractional)
C 0.5000 0.5000 0.0000
Lu 0.5000 0.5000 0.5000
Pu 0.0000 0.0000 0.1596
Pu 0.0000 0.0000 0.8404

---

Most stable pick: <ii>. Distance to second place: 131 meV per atom.

---

<i>
LuThC | PBE | optimized geometry

Properties
SG   P3m1, No. 156

abc: 3.5503 3.5503 6.3495
angles: 90.00 90.00 120.00
Element x y z (fractional)
Th 0.0000 0.0000 0.1093
Lu 0.3333 0.6667 0.5438
C 0.6667 0.3333 0.3468

---

<ii>
LuThC | PBE | optimized geometry

Properties
SG   I4mm, No. 107

abc: 3.2197 3.2197 6.3447
angles: 104.70 104.70 90.00
Element x y z (fractional)
Lu 0.7134 0.7134 0.4268
C 0.3350 0.3350 0.6701
Th 0.9516 0.9516 0.9031

---

Most stable pick: <i>. Distance to second place: 529 meV per atom.

---

<i>
TmLuC | PBE | optimized geometry

Properties
SG   I4mm, No. 107

abc: 3.1120 3.1120 6.2642
angles: 104.38 104.38 90.00
Element x y z (fractional)
Tm 0.9501 0.9501 0.9001
Lu 0.7173 0.7173 0.4346
C 0.3326 0.3326 0.6653

---

<ii>
TmLuC | PBE | optimized geometry

Properties
SG   P3m1, No. 156

abc: 3.5082 3.5082 6.0424
angles: 90.00 90.00 120.00
Element x y z (fractional)
C 0.6667 0.3333 0.3349
Tm 0.0000 0.0000 0.1141
Lu 0.3333 0.6667 0.5511

---

Most stable pick: <ii>. Distance to second place: 548 meV per atom.

---

<i>
LuV2C | PBE | optimized geometry

Properties
SG   R-3m, No. 166

abc: 3.0369 3.0369 7.5770
angles: 78.44 78.44 60.00
Element x y z (fractional)
V 0.7152 0.7152 0.8543
V 0.2848 0.2848 0.1457
Lu 0.5000 0.5000 0.5000
C 0.0000 0.0000 0.0000

---

<ii>
LuV2C | PBE | optimized geometry

Properties
SG   P4/mmm, No. 123

abc: 2.9462 2.9462 6.3627
angles: 90.00 90.00 90.00
Element x y z (fractional)
Lu 0.5000 0.5000 0.5000
V 0.0000 0.0000 0.8425
V 0.0000 0.0000 0.1575
C 0.5000 0.5000 0.0000

---

Most stable pick: <i>. Distance to second place: 415 meV per atom.

---

<i>
MgC | PBE | optimized geometry

Properties
SG   C2/m, No. 12

abc: 6.2087 6.2087 4.2447
angles: 84.43 84.43 25.59
Element x y z (fractional)
Mg 0.8568 0.8568 0.5421
Mg 0.5000 0.5000 0.0000
Mg 0.1432 0.1432 0.4579
C 0.5000 0.5000 0.5000
C 0.7590 0.7590 0.0787
C 0.2410 0.2410 0.9213

---

<ii>
MgC | PBE | optimized geometry

Properties
SG   F-43m, No. 216

abc: 3.6143 3.6143 3.6143
angles: 60.00 60.00 60.00
Element x y z (fractional)
C 0.0000 0.0000 0.0000
Mg 0.7500 0.7500 0.7500

---

Most stable pick: <i>. Distance to second place: 1090 meV per atom.

---

<i>
MgC | PBE | optimized geometry

Properties
SG   Cmmm, No. 65

abc: 14.7027 2.7106 3.4010
angles: 90.00 90.00 90.00
Element x y z (fractional)
C 0.5000 0.5000 0.5000
C 0.7765 0.5000 0.0000
C 0.2765 0.0000 0.0000
C 0.7235 0.0000 0.0000
C 0.2235 0.5000 0.0000
C 0.0000 0.0000 0.5000
Mg 0.0000 0.5000 0.0000
Mg 0.8509 0.0000 0.5000
Mg 0.3509 0.5000 0.5000
Mg 0.6491 0.5000 0.5000
Mg 0.1491 0.0000 0.5000
Mg 0.5000 0.0000 0.0000

---

<ii>
MgC | PBE | optimized geometry

Properties
SG   P-62m, No. 189

abc: 5.8515 5.8515 2.7647
angles: 90.00 90.00 120.00
Element x y z (fractional)
Mg 0.0000 0.3869 0.0000
Mg 0.3869 0.0000 0.0000
Mg 0.6131 0.6131 0.0000
C 0.6667 0.3333 0.5000
C 0.0000 0.0000 0.0000
C 0.3333 0.6667 0.5000

---

<iii>
MgC | PBE | optimized geometry

Properties
SG   P6_3/mmc, No. 194

abc: 2.8793 2.8793 6.5015
angles: 90.00 90.00 120.00
Element x y z (fractional)
C 0.3333 0.6667 0.2500
C 0.6667 0.3333 0.7500
Mg 0.0000 0.0000 0.5000
Mg 0.0000 0.0000 0.0000

---

<iv>
MgC | PBE | optimized geometry

Properties
SG   P-6m2, No. 187

abc: 3.2135 3.2135 2.7855
angles: 90.00 90.00 120.00
Element x y z (fractional)
C 0.0000 0.0000 0.0000
Mg 0.6667 0.3333 0.5000

---

Most stable pick: <i>. Distance to second place: 744 meV per atom.

---

<i>
MgC | PBE | optimized geometry

Properties
SG   C2/m, No. 12

abc: 4.4881 5.1055 3.1661
angles: 71.94 69.35 41.59
Element x y z (fractional)
Mg 0.3804 0.5782 0.5207
Mg 0.5363 0.0051 0.2293
C 0.9698 0.1398 0.9452
C 0.9468 0.4436 0.8048

---

<ii>
MgC | PBE | optimized geometry

Properties
SG   I4_1/amd, No. 141

abc: 5.0406 5.0406 5.0406
angles: 142.72 142.72 53.75
Element x y z (fractional)
C 0.2500 0.7500 0.5000
C 0.0000 0.0000 0.0000
Mg 0.7500 0.2500 0.5000
Mg 0.5000 0.5000 0.0000

---

<iii>
MgC | PBE | optimized geometry

Properties
SG   P2_1/m, No. 11

abc: 3.6546 2.8894 5.9481
angles: 46.85 90.00 90.00
Element x y z (fractional)
C 0.7500 0.2490 0.2453
C 0.2500 0.7510 0.7547
Mg 0.2500 0.7376 0.2508
Mg 0.7500 0.2624 0.7492

---

Most stable pick: <i>. Distance to second place: 702 meV per atom.

---

<i>
MgC | PBE | optimized geometry

Properties
SG   P4_2/mnm, No. 136

abc: 5.8839 5.8839 3.4979
angles: 90.00 90.00 90.00
Element x y z (fractional)
Mg 0.7578 0.7578 0.0000
Mg 0.2578 0.7422 0.5000
Mg 0.2422 0.2422 0.0000
Mg 0.7422 0.2578 0.5000
C 0.9180 0.9180 0.5000
C 0.5820 0.4180 0.0000
C 0.0820 0.0820 0.5000
C 0.4180 0.5820 0.0000

---

<ii>
MgC | PBE | optimized geometry

Properties
SG   Imm2, No. 44

abc: 9.0199 3.4194 5.4625
angles: 90.00 90.00 90.00
Element x y z (fractional)
C 0.0000 0.5000 0.5720
C 0.8533 0.5000 0.6089
C 0.6467 0.0000 0.1089
C 0.1467 0.5000 0.6089
C 0.3533 0.0000 0.1089
C 0.5000 0.0000 0.0720
Mg 0.0000 0.0000 0.8376
Mg 0.3112 0.0000 0.6873
Mg 0.8112 0.5000 0.1873
Mg 0.1888 0.5000 0.1873
Mg 0.6888 0.0000 0.6873
Mg 0.5000 0.5000 0.3376

---

<iii>
MgC | PBE | optimized geometry

Properties
SG   P2_1/m, No. 11

abc: 2.6331 3.6503 5.5733
angles: 79.84 90.00 90.00
Element x y z (fractional)
Mg 0.5000 0.2473 0.1442
Mg 0.0000 0.5027 0.6058
C 0.0000 0.9455 0.9074
C 0.5000 0.8045 0.8426

---

Most stable pick: <ii>. Distance to second place: 68 meV per atom.

---

<i>
MgC | PBE | optimized geometry

Properties
SG   Pm-3m, No. 221

abc: 2.8019 2.8019 2.8019
angles: 90.00 90.00 90.00
Element x y z (fractional)
Mg 0.5000 0.5000 0.5000
C 0.0000 0.0000 0.0000

---

<ii>
MgC | PBE | optimized geometry

Properties
SG   R-3m, No. 166

abc: 3.6426 3.6426 3.6426
angles: 46.62 46.62 46.62
Element x y z (fractional)
C 0.0000 0.0000 0.0000
Mg 0.5000 0.5000 0.5000

---

Most stable pick: <i>. Distance to second place: 18 meV per atom.

---

<i>
MgC | PBE | optimized geometry

Properties
SG   Pnma, No. 62

abc: 2.6374 5.9205 6.0890
angles: 90.00 90.00 90.00
Element x y z (fractional)
C 0.2500 0.0412 0.5473
C 0.7500 0.4588 0.0473
C 0.2500 0.5412 0.9527
C 0.7500 0.9588 0.4527
Mg 0.7500 0.3339 0.6714
Mg 0.7500 0.8339 0.8286
Mg 0.2500 0.1661 0.1714
Mg 0.2500 0.6661 0.3286

---

<ii>
MgC | PBE | optimized geometry

Properties
SG   I-43m, No. 217

abc: 6.5431 6.5431 6.5431
angles: 90.00 90.00 90.00
Element x y z (fractional)
C 0.0842 0.9158 0.9158
C 0.4158 0.4158 0.5842
C 0.0842 0.0842 0.0842
C 0.4158 0.5842 0.4158
C 0.5842 0.5842 0.5842
C 0.5842 0.4158 0.4158
C 0.9158 0.9158 0.0842
C 0.9158 0.0842 0.9158
Mg 0.7773 0.7773 0.7773
Mg 0.7227 0.2773 0.7227
Mg 0.2227 0.7773 0.2227
Mg 0.2227 0.2227 0.7773
Mg 0.7227 0.7227 0.2773
Mg 0.7773 0.2227 0.2227
Mg 0.2773 0.7227 0.7227
Mg 0.2773 0.2773 0.2773

---

<iii>
MgC | PBE | optimized geometry

Properties
SG   P4/m, No. 83

abc: 9.4699 9.4699 2.6372
angles: 90.00 90.00 90.00
Element x y z (fractional)
C 0.2030 0.4495 0.0000
C 0.5505 0.2030 0.0000
C 0.6180 0.1865 0.5000
C 0.7970 0.5505 0.0000
C 0.3820 0.8135 0.5000
C 0.1865 0.3820 0.5000
C 0.8135 0.6180 0.5000
C 0.4495 0.7970 0.0000
Mg 0.3635 0.2164 0.5000
Mg 0.2231 0.9366 0.0000
Mg 0.7836 0.3635 0.5000
Mg 0.2164 0.6365 0.5000
Mg 0.0634 0.2231 0.0000
Mg 0.7769 0.0634 0.0000
Mg 0.6365 0.7836 0.5000
Mg 0.9366 0.7769 0.0000

---

<iv>
MgC | PBE | optimized geometry

Properties
SG   P6_3/mmc, No. 194

abc: 3.5869 3.5869 4.0385
angles: 90.00 90.00 120.00
Element x y z (fractional)
C 0.0000 0.0000 0.0000
C 0.0000 0.0000 0.5000
Mg 0.3333 0.6667 0.2500
Mg 0.6667 0.3333 0.7500

---

Most stable pick: <i>. Distance to second place: 26 meV per atom.